Arrangement i

CrGaTe | PBE | relaxed

Total magnetic moment ... 4.310 μB/cell
ρ ... 5.59 g/cm3

a = 4.7128 Å, b = 4.7128 Å, c = 4.7128 Å
α = 60.00°, β = 60.00°, γ = 60.00°
Closest atoms and distances in Å follow each position.
Sites, in units of the cell vectors:
Ga: 0.7500 0.7500 0.7500  4 Cr 2.89, 4 Te 2.89
Cr: 0.5000 0.5000 0.5000  4 Ga 2.89
Te: 0.0000 0.0000 0.0000  4 Ga 2.89

Arrangement ii

CrGaTe | PBE | relaxed

Total magnetic moment ... 0.000 μB/cell
ρ ... 6.61 g/cm3

a = 3.6073 Å, b = 3.6071 Å, c = 9.7667 Å
α = 88.68°, β = 88.69°, γ = 80.52°
Closest atoms and distances in Å follow each position.
Sites, in units of the cell vectors:
Ga: 0.7496 0.7495 0.4343  2 Ga 2.66
Cr: 0.8578 0.8578 0.0638  1 Cr 1.97
Te: 0.7177 0.7178 0.8038  4 Cr 2.68-2.70
Cr: 0.1422 0.1422 0.9362  1 Cr 1.97
Te: 0.2823 0.2822 0.1962  4 Cr 2.68-2.70
Ga: 0.2504 0.2505 0.5657  2 Ga 2.66

Which one sits at the top of the stability order? arrangement ii does.

Arrangement i

TiCrGa3 | PBE | relaxed

Total magnetic moment ... 1.935 μB/cell
ρ ... 6.15 g/cm3

a = 4.4259 Å, b = 5.3637 Å, c = 7.0257 Å
α = 90.00°, β = 90.00°, γ = 90.00°
Closest atoms and distances in Å follow each position.
Sites, in units of the cell vectors:
Ga: 0.7500 0.7500 0.0445  1 Cr 2.45, 2 Ga 2.66
Cr: 0.2500 0.2500 0.6073  7 Ga 2.45-2.70, 4 Ti 2.68-2.72
Ga: 0.2500 0.9910 0.2786  3 Ga 2.59-2.78, 3 Cr 2.69-2.70, 3 Ti 2.71
Ga: 0.7500 0.0090 0.7214  3 Ga 2.59-2.78, 3 Cr 2.69-2.70, 3 Ti 2.71
Ga: 0.7500 0.4910 0.7214  3 Ga 2.59-2.78, 3 Cr 2.69-2.70, 3 Ti 2.71
Ga: 0.2500 0.5090 0.2786  3 Ga 2.59-2.78, 3 Cr 2.69-2.70, 3 Ti 2.71
Ti: 0.7500 0.2500 0.3820  4 Cr 2.68-2.72, 6 Ga 2.71
Cr: 0.7500 0.7500 0.3927  7 Ga 2.45-2.70, 4 Ti 2.68-2.72
Ti: 0.2500 0.7500 0.6180  4 Cr 2.68-2.72, 6 Ga 2.71
Ga: 0.2500 0.2500 0.9555  1 Cr 2.45, 2 Ga 2.66

Arrangement ii

TiCrGa3 | PBE | relaxed

Total magnetic moment ... 0.535 μB/cell
ρ ... 5.40 g/cm3

a = 4.5625 Å, b = 4.5625 Å, c = 4.5625 Å
α = 90.00°, β = 90.00°, γ = 90.00°
Closest atoms and distances in Å follow each position.
Sites, in units of the cell vectors:
Ga: 0.5000 0.0000 0.0000  2 Cr 2.28
Cr: 0.0000 0.0000 0.0000  6 Ga 2.28
Ga: 0.0000 0.5000 0.0000  2 Cr 2.28
Ti: 0.5000 0.5000 0.5000  12 Ga 3.23
Ga: 0.0000 0.0000 0.5000  2 Cr 2.28

Which one sits at the top of the stability order? arrangement i does.

Arrangement i

TlCr2Ga | PBE | relaxed

Total magnetic moment ... 4.570 μB/cell
ρ ... 8.65 g/cm3

a = 3.9727 Å, b = 3.9727 Å, c = 9.6169 Å
α = 78.08°, β = 78.08°, γ = 90.00°
Closest atoms and distances in Å follow each position.
Sites, in units of the cell vectors:
Cr: 0.8750 0.7689 0.7500  2 Cr 2.29
Tl: 0.7500 0.2500 0.5000  4 Ga 2.81, 4 Cr 2.88
Ga: 0.5000 0.5000 0.0000  4 Cr 2.57, 4 Tl 2.81
Cr: 0.5189 0.1250 0.2500  2 Cr 2.29
Cr: 0.2311 0.6250 0.2500  2 Cr 2.29
Ga: 0.2500 0.7500 0.5000  4 Cr 2.57, 4 Tl 2.81
Cr: 0.3750 0.4811 0.7500  2 Cr 2.29
Tl: 0.0000 0.0000 0.0000  4 Ga 2.81, 4 Cr 2.88

Arrangement ii

TlCr2Ga | PBE | relaxed

Total magnetic moment ... 6.951 μB/cell
ρ ... 8.89 g/cm3

a = 4.6402 Å, b = 4.6402 Å, c = 4.6402 Å
α = 60.00°, β = 60.00°, γ = 60.00°
Closest atoms and distances in Å follow each position.
Sites, in units of the cell vectors:
Ga: 0.0000 0.0000 0.0000  8 Cr 2.84
Cr: 0.7500 0.7500 0.7500  4 Tl 2.84, 4 Ga 2.84
Cr: 0.2500 0.2500 0.2500  4 Tl 2.84, 4 Ga 2.84
Tl: 0.5000 0.5000 0.5000  8 Cr 2.84

Which one sits at the top of the stability order? arrangement ii does.

Arrangement i

V3CrGa2 | PBE | relaxed

Total magnetic moment ... 0.000 μB/cell
ρ ... 7.04 g/cm3

a = 4.5158 Å, b = 6.6018 Å, c = 5.4920 Å
α = 90.06°, β = 90.04°, γ = 82.64°
Closest atoms and distances in Å follow each position.
Sites, in units of the cell vectors:
Ga: 0.2859 0.3278 0.4999  8 V 2.63-2.71, 1 Ga 2.66, 2 Cr 2.75
Ga: 0.0000 0.0000 0.5000  8 V 2.66-2.75, 4 Ga 2.66-2.75
V: 0.7781 0.3388 0.2333  3 Cr 2.45-2.65, 2 V 2.56-2.70, 4 Ga 2.63-2.71
V: 0.7788 0.3390 0.7664  3 Cr 2.45-2.64, 2 V 2.56-2.70, 4 Ga 2.63-2.71
Ga: 0.0000 0.0000 0.0000  8 V 2.63-2.66, 2 Ga 2.75, 2 Cr 2.75
V: 0.2212 0.6610 0.2336  3 Cr 2.45-2.64, 2 V 2.56-2.70, 4 Ga 2.63-2.71
Cr: 0.7102 0.6578 0.0000  8 V 2.45-2.70
V: 0.5000 0.9997 0.2451  6 Ga 2.63-2.66, 4 V 2.69-2.80, 2 Cr 2.69-2.70
V: 0.2219 0.6612 0.7667  3 Cr 2.45-2.65, 2 V 2.56-2.70, 4 Ga 2.63-2.71
Ga: 0.7141 0.6722 0.5001  8 V 2.63-2.71, 1 Ga 2.66, 2 Cr 2.75
Cr: 0.2898 0.3422 0.0000  8 V 2.45-2.70
V: 0.5000 0.0003 0.7549  6 Ga 2.63-2.66, 4 V 2.69-2.80, 2 Cr 2.69-2.70

Arrangement ii

V3CrGa2 | PBE | relaxed

Total magnetic moment ... 0.000 μB/cell
ρ ... 7.05 g/cm3

a = 4.0943 Å, b = 5.2023 Å, c = 9.2439 Å
α = 79.89°, β = 63.71°, γ = 66.68°
Closest atoms and distances in Å follow each position.
Sites, in units of the cell vectors:
V: 0.0784 0.3418 0.7502  1 Cr 2.51, 4 V 2.54-2.62, 3 Ga 2.62-2.64
Ga: 0.8375 0.3245 0.5000  4 Ga 2.57-2.65, 4 V 2.62-2.70
V: 0.9216 0.6582 0.2498  1 Cr 2.51, 4 V 2.54-2.62, 3 Ga 2.62-2.64
Ga: 0.1625 0.6755 0.5000  4 Ga 2.57-2.65, 4 V 2.62-2.70
V: 0.2661 0.0001 0.2339  2 Cr 2.59, 4 V 2.62, 4 Ga 2.70-2.82
V: 0.7339 0.9999 0.7661  2 Cr 2.59, 4 V 2.62, 4 Ga 2.70-2.82
Cr: 0.3183 0.3598 0.9999  2 Cr 2.43-2.46, 4 V 2.51-2.59, 2 Ga 2.67-2.68
Cr: 0.6817 0.6402 0.0001  2 Cr 2.43-2.46, 4 V 2.51-2.59, 2 Ga 2.67-2.68
V: 0.5787 0.3420 0.2498  1 Cr 2.51, 4 V 2.54-2.62, 3 Ga 2.62-2.64
V: 0.4213 0.6580 0.7502  1 Cr 2.51, 4 V 2.54-2.62, 3 Ga 2.62-2.64
Ga: 0.5000 0.0000 0.5000  4 Ga 2.57, 4 V 2.64
Ga: 0.0000 0.0000 0.0000  8 V 2.64-2.82, 4 Cr 2.67-2.68

Which one sits at the top of the stability order? arrangement i does.

Arrangement i

V2CrGa2 | PBE | relaxed

Total magnetic moment ... 1.022 μB/cell
ρ ... 7.17 g/cm3

a = 4.1301 Å, b = 8.6974 Å, c = 5.2537 Å
α = 130.72°, β = 90.00°, γ = 103.73°
Closest atoms and distances in Å follow each position.
Sites, in units of the cell vectors:
Cr: 0.3003 0.6007 0.9365  5 Ga 2.51-2.68, 3 V 2.51-2.52
Ga: 0.2954 0.5908 0.4153  4 Cr 2.51-2.68, 1 Ga 2.64, 3 V 2.65-2.68
Ga: 0.7046 0.4092 0.5847  4 Cr 2.51-2.68, 1 Ga 2.64, 3 V 2.65-2.68
Cr: 0.6997 0.3993 0.0635  5 Ga 2.51-2.68, 3 V 2.51-2.52
Ga: 0.4995 0.9990 0.2566  3 Ga 2.55-2.71, 1 Cr 2.56, 4 V 2.62-2.70
V: 0.0959 0.1918 0.1542  3 V 2.47-2.66, 5 Ga 2.62-2.68
V: 0.1118 0.2236 0.6941  3 Cr 2.51-2.52, 2 V 2.60-2.66, 2 Ga 2.70
V: 0.8882 0.7764 0.3059  3 Cr 2.51-2.52, 2 V 2.60-2.66, 2 Ga 2.70
Ga: 0.5005 0.0010 0.7434  3 Ga 2.55-2.71, 1 Cr 2.56, 4 V 2.62-2.70
V: 0.9041 0.8082 0.8458  3 V 2.47-2.66, 5 Ga 2.62-2.68

Arrangement ii

V2CrGa2 | PBE | relaxed

Total magnetic moment ... 0.112 μB/cell
ρ ... 6.81 g/cm3

a = 6.5455 Å, b = 6.5455 Å, c = 3.3402 Å
α = 90.00°, β = 90.00°, γ = 90.00°
Closest atoms and distances in Å follow each position.
Sites, in units of the cell vectors:
Ga: 0.1330 0.3670 0.0000  1 Ga 2.46, 6 V 2.47-2.60, 2 Cr 2.56
V: 0.8299 0.3299 0.5000  6 Ga 2.47-2.60
Cr: 0.0000 0.0000 0.0000  4 Ga 2.56
V: 0.3299 0.1701 0.5000  6 Ga 2.47-2.60
V: 0.1701 0.6701 0.5000  6 Ga 2.47-2.60
Ga: 0.3670 0.8670 0.0000  1 Ga 2.46, 6 V 2.47-2.60, 2 Cr 2.56
V: 0.6701 0.8299 0.5000  6 Ga 2.47-2.60
Cr: 0.5000 0.5000 0.0000  4 Ga 2.56
Ga: 0.8670 0.6330 0.0000  1 Ga 2.46, 6 V 2.47-2.60, 2 Cr 2.56
Ga: 0.6330 0.1330 0.0000  1 Ga 2.46, 6 V 2.47-2.60, 2 Cr 2.56

Which one sits at the top of the stability order? arrangement i does.

Arrangement i

VCrGa | PBE | relaxed

Total magnetic moment ... 0.022 μB/cell
ρ ... 7.19 g/cm3

a = 3.0916 Å, b = 3.0916 Å, c = 4.7089 Å
α = 70.84°, β = 70.84°, γ = 90.00°
Closest atoms and distances in Å follow each position.
Sites, in units of the cell vectors:
V: 0.4009 0.9700 0.6747  4 Cr 2.48, 5 Ga 2.64-2.67
Cr: 0.0406 0.6098 0.3951  4 V 2.48, 5 Ga 2.64-2.69
Ga: 0.7177 0.2868 0.0410  5 Cr 2.64-2.69, 5 V 2.64-2.67

Arrangement ii

VCrGa | PBE | relaxed

Total magnetic moment ... 0.000 μB/cell
ρ ... 6.61 g/cm3

a = 2.5007 Å, b = 2.5007 Å, c = 7.1578 Å
α = 100.06°, β = 100.06°, γ = 90.00°
Closest atoms and distances in Å follow each position.
Sites, in units of the cell vectors:
Cr: 0.9468 0.9468 0.8936  1 V 2.38, 4 Cr 2.50, 1 Ga 2.51
Ga: 0.1279 0.1279 0.2557  4 Ga 2.50, 1 Cr 2.51, 4 V 2.70
V: 0.7754 0.7754 0.5507  1 Cr 2.38, 4 V 2.50

Which one sits at the top of the stability order? arrangement i does.

Arrangement i

VCrGa | PBE | relaxed

Total magnetic moment ... 0.000 μB/cell
ρ ... 6.93 g/cm3

a = 2.9333 Å, b = 4.9712 Å, c = 6.1728 Å
α = 78.53°, β = 76.26°, γ = 72.84°
Closest atoms and distances in Å follow each position.
Sites, in units of the cell vectors:
Ga: 0.1591 0.8483 0.8334  5 V 2.56-2.69, 3 Cr 2.56-2.65, 1 Ga 2.62
Ga: 0.8409 0.1517 0.1666  5 V 2.56-2.69, 3 Cr 2.56-2.65, 1 Ga 2.62
V: 0.5571 0.6818 0.2040  2 Cr 2.38, 3 Ga 2.56-2.65
Cr: 0.8803 0.7318 0.5075  1 Cr 2.22, 2 V 2.38
V: 0.4429 0.3182 0.7960  2 Cr 2.38, 3 Ga 2.56-2.65
Cr: 0.1197 0.2682 0.4925  1 Cr 2.22, 2 V 2.38

Arrangement ii

VCrGa | PBE | relaxed

Total magnetic moment ... 0.000 μB/cell
ρ ... 7.31 g/cm3

a = 4.1716 Å, b = 4.9444 Å, c = 4.9166 Å
α = 63.02°, β = 64.90°, γ = 65.05°
Closest atoms and distances in Å follow each position.
Sites, in units of the cell vectors:
V: 0.8279 0.1104 0.2337  4 Cr 2.50-2.58, 1 V 2.59, 3 Ga 2.62-2.64
Ga: 0.5054 0.7459 0.2433  2 Ga 2.57-2.59, 3 Cr 2.57-2.61, 4 V 2.62-2.86
Cr: 0.8388 0.5995 0.7228  1 Cr 2.43, 4 V 2.50-2.58, 3 Ga 2.57-2.61
V: 0.1721 0.8896 0.7663  4 Cr 2.50-2.58, 1 V 2.59, 3 Ga 2.62-2.64
Ga: 0.4946 0.2541 0.7567  2 Ga 2.57-2.59, 3 Cr 2.57-2.61, 4 V 2.62-2.86
Cr: 0.1612 0.4005 0.2772  1 Cr 2.43, 4 V 2.50-2.58, 3 Ga 2.57-2.61

Arrangement iii

VCrGa | PBE | relaxed

Total magnetic moment ... 0.000 μB/cell
ρ ... 7.31 g/cm3

a = 2.5870 Å, b = 4.1844 Å, c = 4.1844 Å
α = 120.00°, β = 90.00°, γ = 90.00°
Closest atoms and distances in Å follow each position.
Sites, in units of the cell vectors:
Ga: 0.6785 0.3333 0.6667  3 Cr 2.59, 2 Ga 2.59, 6 V 2.62-2.88
Cr: 0.0357 0.0000 0.0000  3 V 2.50, 3 Ga 2.59, 2 Cr 2.59
V: 0.2858 0.6667 0.3333  3 Cr 2.50, 2 V 2.59, 3 Ga 2.62

Which one sits at the top of the stability order? arrangement ii does.

Arrangement i

VCr4Ga | PBE | relaxed

Total magnetic moment ... 0.000 μB/cell
ρ ... 7.20 g/cm3

a = 4.7501 Å, b = 4.7501 Å, c = 4.7501 Å
α = 60.00°, β = 60.00°, γ = 60.00°
Closest atoms and distances in Å follow each position.
Sites, in units of the cell vectors:
Cr: 0.6260 0.6260 0.6260  6 Cr 2.36-2.39
Cr: 0.1219 0.6260 0.6260  6 Cr 2.36-2.39
V: 0.2500 0.2500 0.2500  12 Cr 2.79, 4 Ga 2.91
Cr: 0.6260 0.6260 0.1219  6 Cr 2.36-2.39
Cr: 0.6260 0.1219 0.6260  6 Cr 2.36-2.39
Ga: 0.0000 0.0000 0.0000  12 Cr 2.78, 4 V 2.91

Arrangement ii

VCr4Ga | PBE | relaxed

Total magnetic moment ... 0.000 μB/cell
ρ ... 7.39 g/cm3

a = 2.9114 Å, b = 4.7979 Å, c = 5.8270 Å
α = 73.10°, β = 90.02°, γ = 72.32°
Closest atoms and distances in Å follow each position.
Sites, in units of the cell vectors:
Cr: 0.8189 0.8587 0.1713  4 Cr 2.39-2.46, 2 V 2.58, 2 Ga 2.62
Cr: 0.1726 0.1522 0.3416  4 Cr 2.39-2.46, 2 V 2.52, 2 Ga 2.57
Ga: 0.5005 0.4955 0.0018  10 Cr 2.57-2.77
V: 0.5006 0.4954 0.5019  8 Cr 2.52-2.58
Cr: 0.8285 0.8387 0.6621  4 Cr 2.39-2.46, 2 V 2.52, 2 Ga 2.57
Cr: 0.1822 0.1321 0.8325  4 Cr 2.39-2.46, 2 V 2.58, 2 Ga 2.62

Which one sits at the top of the stability order? arrangement ii does.